Material: Ba12Bi3Cl5
Method: DFT, PBE
State: optimized geometry

ΔE_f (raw)	-22.6	eV/f.u.
Fermi-level density of states	75.62	states/eV per cell
symmetry	Ia-3d, No. 230

a = 16.9782 Å, b = 16.9782 Å, c = 16.9782 Å
α = 109.47°, β = 109.47°, γ = 109.47°
Closest atoms and distances in Å follow each position.
Element x y z (fractional)
Ba (0.0385, 0.2185, 0.1247)  2 Cl 3.00-3.30
Ba (0.0385, 0.3200, 0.9138)  2 Cl 3.00-3.30
Ba (0.0862, 0.6247, 0.4061)  2 Cl 3.00-3.30
Ba (0.0862, 0.9615, 0.6800)  2 Cl 3.00-3.30
Ba (0.0939, 0.7185, 0.6800)  2 Cl 3.00-3.30
Ba (0.0939, 0.8753, 0.4138)  2 Cl 3.00-3.30
Ba (0.1247, 0.0385, 0.2185)  2 Cl 3.00-3.30
Ba (0.1247, 0.5862, 0.9061)  2 Cl 3.00-3.30
Ba (0.1800, 0.2185, 0.5939)  2 Cl 3.00-3.30
Ba (0.1800, 0.4615, 0.5862)  2 Cl 3.00-3.30
Ba (0.2185, 0.1247, 0.0385)  2 Cl 3.00-3.30
Ba (0.2185, 0.5939, 0.1800)  2 Cl 3.00-3.30
Ba (0.2815, 0.3200, 0.9061)  2 Cl 3.00-3.30
Ba (0.2815, 0.4615, 0.3753)  2 Cl 3.00-3.30
Ba (0.3200, 0.9061, 0.2815)  2 Cl 3.00-3.30
Ba (0.3200, 0.9138, 0.0385)  2 Cl 3.00-3.30
Ba (0.3753, 0.2815, 0.4615)  2 Cl 3.00-3.30
Ba (0.3753, 0.5939, 0.9138)  2 Cl 3.00-3.30
Ba (0.4061, 0.0862, 0.6247)  2 Cl 3.00-3.30
Ba (0.4061, 0.8200, 0.7815)  2 Cl 3.00-3.30
Ba (0.4138, 0.0939, 0.8753)  2 Cl 3.00-3.30
Ba (0.4138, 0.8200, 0.5385)  2 Cl 3.00-3.30
Ba (0.4615, 0.3753, 0.2815)  2 Cl 3.00-3.30
Ba (0.4615, 0.5862, 0.1800)  2 Cl 3.00-3.30
Ba (0.5385, 0.4138, 0.8200)  2 Cl 3.00-3.30
Ba (0.5385, 0.6247, 0.7185)  2 Cl 3.00-3.30
Ba (0.5862, 0.1800, 0.4615)  2 Cl 3.00-3.30
Ba (0.5862, 0.9061, 0.1247)  2 Cl 3.00-3.30
Ba (0.5939, 0.1800, 0.2185)  2 Cl 3.00-3.30
Ba (0.5939, 0.9138, 0.3753)  2 Cl 3.00-3.30
Ba (0.6247, 0.4061, 0.0862)  2 Cl 3.00-3.30
Ba (0.6247, 0.7185, 0.5385)  2 Cl 3.00-3.30
Ba (0.6800, 0.0862, 0.9615)  2 Cl 3.00-3.30
Ba (0.6800, 0.0939, 0.7185)  2 Cl 3.00-3.30
Ba (0.7185, 0.5385, 0.6247)  2 Cl 3.00-3.30
Ba (0.7185, 0.6800, 0.0939)  2 Cl 3.00-3.30
Ba (0.7815, 0.4061, 0.8200)  2 Cl 3.00-3.30
Ba (0.7815, 0.8753, 0.9615)  2 Cl 3.00-3.30
Ba (0.8200, 0.5385, 0.4138)  2 Cl 3.00-3.30
Ba (0.8200, 0.7815, 0.4061)  2 Cl 3.00-3.30
Ba (0.8753, 0.4138, 0.0939)  2 Cl 3.00-3.30
Ba (0.8753, 0.9615, 0.7815)  2 Cl 3.00-3.30
Ba (0.9061, 0.1247, 0.5862)  2 Cl 3.00-3.30
Ba (0.9061, 0.2815, 0.3200)  2 Cl 3.00-3.30
Ba (0.9138, 0.0385, 0.3200)  2 Cl 3.00-3.30
Ba (0.9138, 0.3753, 0.5939)  2 Cl 3.00-3.30
Ba (0.9615, 0.6800, 0.0862)  2 Cl 3.00-3.30
Ba (0.9615, 0.7815, 0.8753)  2 Cl 3.00-3.30
Bi (0.1250, 0.2500, 0.3750)  8 Ba 3.68-3.78
Bi (0.1250, 0.3750, 0.7500)  8 Ba 3.68-3.78
Bi (0.2500, 0.3750, 0.1250)  8 Ba 3.68-3.78
Bi (0.2500, 0.8750, 0.6250)  8 Ba 3.68-3.78
Bi (0.3750, 0.1250, 0.2500)  8 Ba 3.68-3.78
Bi (0.3750, 0.7500, 0.1250)  8 Ba 3.68-3.78
Bi (0.6250, 0.2500, 0.8750)  8 Ba 3.68-3.78
Bi (0.6250, 0.8750, 0.7500)  8 Ba 3.68-3.78
Bi (0.7500, 0.1250, 0.3750)  8 Ba 3.68-3.78
Bi (0.7500, 0.6250, 0.8750)  8 Ba 3.68-3.78
Bi (0.8750, 0.6250, 0.2500)  8 Ba 3.68-3.78
Bi (0.8750, 0.7500, 0.6250)  8 Ba 3.68-3.78
Cl (0.0000, 0.0000, 0.0000)  6 Ba 3.30
Cl (0.0000, 0.0000, 0.5000)  6 Ba 3.30
Cl (0.0000, 0.5000, 0.0000)  6 Ba 3.30
Cl (0.0000, 0.5000, 0.5000)  6 Ba 3.30
Cl (0.1250, 0.7500, 0.8750)  4 Ba 3.00
Cl (0.1250, 0.8750, 0.2500)  4 Ba 3.00
Cl (0.2500, 0.1250, 0.8750)  4 Ba 3.00
Cl (0.2500, 0.6250, 0.3750)  4 Ba 3.00
Cl (0.3750, 0.2500, 0.6250)  4 Ba 3.00
Cl (0.3750, 0.6250, 0.7500)  4 Ba 3.00
Cl (0.5000, 0.0000, 0.0000)  6 Ba 3.30
Cl (0.5000, 0.0000, 0.5000)  6 Ba 3.30
Cl (0.5000, 0.5000, 0.0000)  6 Ba 3.30
Cl (0.5000, 0.5000, 0.5000)  6 Ba 3.30
Cl (0.6250, 0.3750, 0.2500)  4 Ba 3.00
Cl (0.6250, 0.7500, 0.3750)  4 Ba 3.00
Cl (0.7500, 0.3750, 0.6250)  4 Ba 3.00
Cl (0.7500, 0.8750, 0.1250)  4 Ba 3.00
Cl (0.8750, 0.1250, 0.7500)  4 Ba 3.00
Cl (0.8750, 0.2500, 0.1250)  4 Ba 3.00